1.
First-principles (GGA-PBE) data for an optimized crystal structure of PmRe4Ge2, as listed in Alexandria via LeMat-Bulk.

CIF file:
```
data_PmRe4Ge2
_chemical_formula_sum 'Pm1 Re4 Ge2'
_cell_length_a 7.5745
_cell_length_b 7.5745
_cell_length_c 4.1206
_cell_angle_alpha 90.00
_cell_angle_beta 90.00
_cell_angle_gamma 147.97
_symmetry_space_group_name_H-M 'P 1'
_symmetry_Int_Tables_number 1
loop_
_symmetry_equiv_pos_as_xyz
'x,y,z'
loop_
_atom_site_label
_atom_site_type_symbol
_atom_site_fract_x
_atom_site_fract_y
_atom_site_fract_z
Pm1 Pm 0.0000 0.0000 0.0000
Re1 Re 0.1922 0.8078 0.5000
Re2 Re 0.3018 0.6982 0.0000
Re3 Re 0.6982 0.3018 0.0000
Re4 Re 0.8078 0.1922 0.5000
Ge1 Ge 0.4129 0.5871 0.5000
Ge2 Ge 0.5871 0.4129 0.5000
```

Results
The value obtained for the energy of formation from the pure elements is -2.08 eV/f.u. The energy comes out at -65.86 eV for the cell shown.



2.
First-principles (GGA-PBE) data for an optimized crystal structure of PmReGe3, as listed in Alexandria via LeMat-Bulk.

CIF file:
```
data_PmReGe3
_chemical_formula_sum 'Pm4 Re4 Ge12'
_cell_length_a 9.0363
_cell_length_b 9.0363
_cell_length_c 5.2054
_cell_angle_alpha 94.96
_cell_angle_beta 94.96
_cell_angle_gamma 87.18
_symmetry_space_group_name_H-M 'P 1'
_symmetry_Int_Tables_number 1
loop_
_symmetry_equiv_pos_as_xyz
'x,y,z'
loop_
_atom_site_label
_atom_site_type_symbol
_atom_site_fract_x
_atom_site_fract_y
_atom_site_fract_z
Pm1 Pm 0.0556 0.2508 0.4921
Pm2 Pm 0.2508 0.0556 0.9921
Pm3 Pm 0.7492 0.9444 0.0079
Pm4 Pm 0.9444 0.7492 0.5079
Re1 Re 0.3216 0.6784 0.7500
Re2 Re 0.4583 0.5417 0.2500
Re3 Re 0.5417 0.4583 0.7500
Re4 Re 0.6784 0.3216 0.2500
Ge1 Ge 0.0976 0.7639 0.0359
Ge2 Ge 0.1832 0.5469 0.3430
Ge3 Ge 0.2361 0.9024 0.4641
Ge4 Ge 0.2749 0.4153 0.8796
Ge5 Ge 0.4153 0.2749 0.3796
Ge6 Ge 0.4531 0.8168 0.1570
Ge7 Ge 0.5469 0.1832 0.8430
Ge8 Ge 0.5847 0.7251 0.6204
Ge9 Ge 0.7251 0.5847 0.1204
Ge10 Ge 0.7639 0.0976 0.5359
Ge11 Ge 0.8168 0.4531 0.6570
Ge12 Ge 0.9024 0.2361 0.9641
```

Results
The value obtained for the energy of formation from the pure elements is -0.79 eV/f.u. The energy comes out at -127.35 eV for the cell shown.



3.
First-principles (GGA-PBE) data for an optimized crystal structure of Pm2Zn2ReGe4, as listed in Alexandria via LeMat-Bulk.

CIF file:
```
data_Pm2Zn2ReGe4
_chemical_formula_sum 'Pm2 Zn2 Re1 Ge4'
_cell_length_a 6.2840
_cell_length_b 6.2840
_cell_length_c 6.2840
_cell_angle_alpha 120.25
_cell_angle_beta 120.25
_cell_angle_gamma 89.58
_symmetry_space_group_name_H-M 'P 1'
_symmetry_Int_Tables_number 1
loop_
_symmetry_equiv_pos_as_xyz
'x,y,z'
loop_
_atom_site_label
_atom_site_type_symbol
_atom_site_fract_x
_atom_site_fract_y
_atom_site_fract_z
Pm1 Pm 0.2500 0.7500 0.5000
Pm2 Pm 0.7500 0.2500 0.5000
Zn1 Zn 0.2111 0.2111 0.0000
Zn2 Zn 0.7889 0.7889 0.0000
Re1 Re 0.5000 0.5000 0.0000
Ge1 Ge 0.2158 0.2158 0.4316
Ge2 Ge 0.2158 0.7842 0.0000
Ge3 Ge 0.7842 0.2158 0.0000
Ge4 Ge 0.7842 0.7842 0.5684
```

Results
The value obtained for the energy of formation from the pure elements is -3.12 eV/f.u. The energy comes out at -46.09 eV for the cell shown.



Repeat the third record exactly.
First-principles (GGA-PBE) data for an optimized crystal structure of Pm2Zn2ReGe4, as listed in Alexandria via LeMat-Bulk.

CIF file:
```
data_Pm2Zn2ReGe4
_chemical_formula_sum 'Pm2 Zn2 Re1 Ge4'
_cell_length_a 6.2840
_cell_length_b 6.2840
_cell_length_c 6.2840
_cell_angle_alpha 120.25
_cell_angle_beta 120.25
_cell_angle_gamma 89.58
_symmetry_space_group_name_H-M 'P 1'
_symmetry_Int_Tables_number 1
loop_
_symmetry_equiv_pos_as_xyz
'x,y,z'
loop_
_atom_site_label
_atom_site_type_symbol
_atom_site_fract_x
_atom_site_fract_y
_atom_site_fract_z
Pm1 Pm 0.2500 0.7500 0.5000
Pm2 Pm 0.7500 0.2500 0.5000
Zn1 Zn 0.2111 0.2111 0.0000
Zn2 Zn 0.7889 0.7889 0.0000
Re1 Re 0.5000 0.5000 0.0000
Ge1 Ge 0.2158 0.2158 0.4316
Ge2 Ge 0.2158 0.7842 0.0000
Ge3 Ge 0.7842 0.2158 0.0000
Ge4 Ge 0.7842 0.7842 0.5684
```

Results
The value obtained for the energy of formation from the pure elements is -3.12 eV/f.u. The energy comes out at -46.09 eV for the cell shown.



- Among the records above, which one has the highest energy?
  Pm2Zn2ReGe4



Repeat the third record exactly.
First-principles (GGA-PBE) data for an optimized crystal structure of Pm2Zn2ReGe4, as listed in Alexandria via LeMat-Bulk.

CIF file:
```
data_Pm2Zn2ReGe4
_chemical_formula_sum 'Pm2 Zn2 Re1 Ge4'
_cell_length_a 6.2840
_cell_length_b 6.2840
_cell_length_c 6.2840
_cell_angle_alpha 120.25
_cell_angle_beta 120.25
_cell_angle_gamma 89.58
_symmetry_space_group_name_H-M 'P 1'
_symmetry_Int_Tables_number 1
loop_
_symmetry_equiv_pos_as_xyz
'x,y,z'
loop_
_atom_site_label
_atom_site_type_symbol
_atom_site_fract_x
_atom_site_fract_y
_atom_site_fract_z
Pm1 Pm 0.2500 0.7500 0.5000
Pm2 Pm 0.7500 0.2500 0.5000
Zn1 Zn 0.2111 0.2111 0.0000
Zn2 Zn 0.7889 0.7889 0.0000
Re1 Re 0.5000 0.5000 0.0000
Ge1 Ge 0.2158 0.2158 0.4316
Ge2 Ge 0.2158 0.7842 0.0000
Ge3 Ge 0.7842 0.2158 0.0000
Ge4 Ge 0.7842 0.7842 0.5684
```

Results
The value obtained for the energy of formation from the pure elements is -3.12 eV/f.u. The energy comes out at -46.09 eV for the cell shown.